Record 1
The following is a GGA-PBE calculation of crystalline TmSnPd6 at its relaxed geometry, from the Alexandria database.

```
TmSnPd6
1.0
4.080 0.000 0.000
0.000 4.080 0.000
0.000 0.000 8.083
Tm Sn Pd
1 1 6
direct
0.000 0.000 0.500
0.000 0.000 0.000
0.500 0.500 0.000
0.500 0.500 0.500
0.500 0.000 0.244
0.500 0.000 0.756
0.000 0.500 0.244
0.000 0.500 0.756
```

- total moment (μB per cell) = 0.000
- symmetry = P4/mmm (123)
- energy of formation (meV per atom) = -714
- VASP energy (eV per cell) = -45.343
- calculated density (g/cm³) = 11.43

***

Record 2
The following is a GGA-PBE calculation of crystalline TmSnPd2 at its relaxed geometry, from the Alexandria database.

```
TmSnPd2
1.0
-0.637 2.961 -2.144
-4.026 -1.790 -1.275
-2.052 2.107 3.519
Tm Sn Pd
1 1 2
direct
0.500 0.500 0.500
0.500 0.000 0.000
0.000 0.000 0.500
0.000 0.500 0.000
```

- total moment (μB per cell) = 0.000
- symmetry = P4/mmm (123)
- energy of formation (meV per atom) = -774
- VASP energy (eV per cell) = -21.958
- calculated density (g/cm³) = 10.65

***

Record 3
The following is a GGA-PBE calculation of crystalline YTmSnPd at its relaxed geometry, from the Alexandria database.

```
YTmSnPd
1.0
-3.854 1.679 -2.936
0.112 -0.774 -5.068
-3.229 -3.351 -2.154
Y Tm Sn Pd
1 1 1 1
direct
0.500 0.500 0.500
0.000 0.000 0.000
0.750 0.750 0.750
0.250 0.250 0.250
```

- total moment (μB per cell) = 0.000
- symmetry = F-43m (216)
- energy of formation (meV per atom) = -755
- VASP energy (eV per cell) = -23.150
- calculated density (g/cm³) = 8.41

***

Record 4
The following is a GGA-PBE calculation of crystalline YTm3Sn4Pd8 at its relaxed geometry, from the Alexandria database.

```
YTm3Sn4Pd8
1.0
-8.777 12.877 -4.267
-10.209 9.904 -7.665
-12.331 9.860 -3.431
Y Tm Sn Pd
1 3 4 8
direct
0.500 0.500 0.500
0.749 0.749 0.749
0.000 0.000 0.000
0.251 0.251 0.251
0.625 0.625 0.625
0.375 0.375 0.375
0.875 0.875 0.875
0.125 0.125 0.125
0.939 0.939 0.939
0.689 0.689 0.689
0.191 0.191 0.191
0.438 0.438 0.438
0.562 0.562 0.562
0.311 0.311 0.311
0.809 0.809 0.809
0.061 0.061 0.061
```

- total moment (μB per cell) = 0.000
- symmetry = R-3m (166)
- energy of formation (meV per atom) = -880
- VASP energy (eV per cell) = -91.509
- calculated density (g/cm³) = 10.32